Entry 1:
Crystalline K3TlCd at its relaxed geometry, computed with GGA-PBE.

Calculated values
The space-group type is No. 12. The spin magnetization comes out at 0.00 μB/f.u. The calculation puts the calculated density at 2.97 g/cm3. The energy relative to the elements comes out at -1.1 kJ per mole of atoms. As for the energy above the most stable polymorph in this dataset: 0.0463 eV/atom. As for the calculated volume: 48.5 A^3/atom.

abc: 8.628 8.628 8.673
angles: 108.30 119.49 100.92
Sites, in units of the cell vectors:
K (0.835, 0.016, 0.233)
K (0.730, 0.448, 0.177)
K (0.165, 0.984, 0.767)
K (0.217, 0.399, 0.233)
K (0.783, 0.601, 0.767)
K (0.270, 0.552, 0.823)
Tl (0.305, 0.927, 0.232)
Tl (0.695, 0.073, 0.768)
Cd (0.386, 0.209, 0.595)
Cd (0.614, 0.791, 0.405)


Entry 2:
Crystalline Li2Co5Ge3H2 at its relaxed geometry, computed with GGA-PBE.

Calculated values
The space-group type is No. 139. The spin magnetization comes out at 1.99 μB/f.u. The calculation puts the calculated density at 6.59 g/cm3. As for the calculated volume: 11.1 A^3/atom. Its total energy is -62.41 eV per cell.

abc: 3.669 3.669 10.226
angles: 100.34 100.34 90.00
Site moments in Bohr magnetons follow the coordinates.
Sites, in units of the cell vectors:
Co (0.589, 0.089, 0.177)  0.29
Co (0.411, 0.911, 0.823)  0.29
Co (0.500, 0.500, 0.000)  0.91
Co (0.089, 0.589, 0.177)  0.29
Co (0.911, 0.411, 0.823)  0.29
H (0.411, 0.411, 0.822)  -0.01
H (0.589, 0.589, 0.178)  -0.01
Li (0.697, 0.697, 0.393)  0.00
Li (0.303, 0.303, 0.607)  0.00
Ge (0.834, 0.834, 0.668)  -0.02
Ge (0.000, 0.000, 0.000)  -0.03
Ge (0.166, 0.166, 0.332)  -0.02


What is the formula in the first record? K3TlCd


Copy entry 1 word for word.
Crystalline K3TlCd at its relaxed geometry, computed with GGA-PBE.

Calculated values
The space-group type is No. 12. The spin magnetization comes out at 0.00 μB/f.u. The calculation puts the calculated density at 2.97 g/cm3. The energy relative to the elements comes out at -1.1 kJ per mole of atoms. As for the energy above the most stable polymorph in this dataset: 0.0463 eV/atom. As for the calculated volume: 48.5 A^3/atom.

abc: 8.628 8.628 8.673
angles: 108.30 119.49 100.92
Sites, in units of the cell vectors:
K (0.835, 0.016, 0.233)
K (0.730, 0.448, 0.177)
K (0.165, 0.984, 0.767)
K (0.217, 0.399, 0.233)
K (0.783, 0.601, 0.767)
K (0.270, 0.552, 0.823)
Tl (0.305, 0.927, 0.232)
Tl (0.695, 0.073, 0.768)
Cd (0.386, 0.209, 0.595)
Cd (0.614, 0.791, 0.405)


What is the calculated density in the first record? 2.97 g/cm3